1.
VASP calculation (PBE) on a geometry-optimized NaCaH6Au2 structure.

Geometry as POSCAR:
```
NaCaH6Au2
1.0
3.985 -4.928 0.000
3.985 4.928 0.000
-1.943 0.000 5.914
Na Ca H Au
2 2 12 4
direct
0.074 0.926 0.750
0.926 0.074 0.250
0.332 0.668 0.250
0.668 0.332 0.750
0.042 0.786 0.371
0.073 0.596 0.879
0.214 0.958 0.129
0.308 0.339 0.492
0.339 0.308 0.992
0.404 0.927 0.621
0.596 0.073 0.379
0.661 0.692 0.008
0.692 0.661 0.508
0.786 0.042 0.871
0.927 0.404 0.121
0.958 0.214 0.629
0.185 0.447 0.692
0.447 0.185 0.192
0.553 0.815 0.808
0.815 0.553 0.308
```

2.
VASP calculation (PBE) on a geometry-optimized Ca2NiHAu structure.

Geometry as POSCAR:
```
Ca2NiHAu
1.0
5.067 0.000 0.000
0.000 5.067 0.000
0.000 0.000 3.501
Ca Ni H Au
2 1 1 1
direct
0.000 0.500 0.000
0.500 0.000 0.000
0.000 0.000 0.500
0.000 0.000 0.000
0.500 0.500 0.500
```

3.
VASP calculation (PBE) on a geometry-optimized Ca2HPd6Au structure.

Geometry as POSCAR:
```
Ca2HPd6Au
1.0
0.000 4.534 4.539
4.531 0.000 4.539
4.531 4.534 0.000
Ca H Pd Au
2 1 6 1
direct
0.250 0.250 0.250
0.750 0.750 0.750
0.000 0.000 0.000
0.216 0.216 0.784
0.216 0.784 0.216
0.216 0.784 0.784
0.784 0.216 0.216
0.784 0.216 0.784
0.784 0.784 0.216
0.500 0.500 0.500
```

4.
VASP calculation (PBE) on a geometry-optimized CaHPd2Au structure.

Computed properties:
Its distance to the lowest polymorph of the same formula is 62 meV/atom.

Geometry as POSCAR:
```
CaHPd2Au
1.0
4.238 0.000 0.000
0.000 4.238 0.000
0.000 0.000 4.184
Ca H Pd Au
1 1 2 1
direct
0.000 0.000 0.000
0.500 0.500 0.500
0.000 0.500 0.500
0.500 0.000 0.500
0.500 0.500 0.000
```

5.
VASP calculation (PBE) on a geometry-optimized Ca2H6PdAu structure.

Geometry as POSCAR:
```
Ca2H6PdAu
1.0
-2.514 2.514 4.368
2.514 -2.514 4.368
2.514 2.514 -4.368
Ca H Pd Au
2 6 1 1
direct
0.000 0.500 0.500
0.500 0.000 0.500
0.448 0.448 0.487
0.448 0.961 0.000
0.454 0.454 0.000
0.961 0.448 0.000
0.961 0.961 0.513
0.972 0.972 0.000
0.250 0.250 0.000
0.768 0.768 0.000
```

6.
VASP calculation (PBE) on a geometry-optimized CaH2PdAu structure.

Geometry as POSCAR:
```
CaH2PdAu
1.0
3.926 0.000 0.000
0.000 3.926 0.000
0.000 0.000 5.217
Ca H Pd Au
1 2 1 1
direct
0.000 0.000 0.000
0.000 0.500 0.500
0.500 0.000 0.500
0.500 0.500 0.500
0.500 0.500 0.000
```

7.
VASP calculation (PBE) on a geometry-optimized CaHPd2Au structure.

Computed properties:
Its distance to the lowest polymorph of the same formula is 0 meV/atom.

Geometry as POSCAR:
```
CaHPd2Au
1.0
4.108 0.000 0.000
0.000 4.108 0.000
0.000 0.000 4.449
Ca H Pd Au
1 1 2 1
direct
0.000 0.000 0.000
0.000 0.000 0.500
0.000 0.500 0.500
0.500 0.000 0.500
0.500 0.500 0.000
```

8.
VASP calculation (PBE) on a geometry-optimized CaHPdAu2 structure.

Geometry as POSCAR:
```
CaHPdAu2
1.0
4.483 0.000 0.000
0.000 4.483 0.000
0.000 0.000 4.003
Ca H Pd Au
1 1 1 2
direct
0.000 0.000 0.000
0.500 0.500 0.500
0.500 0.500 0.000
0.000 0.500 0.500
0.500 0.000 0.500
```

Number 1: total moment 0.0 μB/f.u., total energy -3.1925 eV per atom. Number 2: total moment 0.0 μB/f.u., total energy -3.7371 eV per atom. Number 3: total moment 0.0 μB/f.u., total energy -4.5064 eV per atom. Number 4: total moment 0.0 μB/f.u., total energy -4.2328 eV per atom. Number 5: total moment 0.0 μB/f.u., total energy -3.6195 eV per atom. Number 6: total moment 0.0 μB/f.u., total energy -3.5935 eV per atom. Number 7: total moment 0.0 μB/f.u., total energy -4.2946 eV per atom. Number 8: total moment 0.0 μB/f.u., total energy -3.7091 eV per atom.